ZrZnB2Au | PBE | relaxed

Lattice parameters (Å, degrees): 4.446 5.385 4.446 90.00 90.00 90.00
Positions (direct):
Zn 0.500 0.500 0.500
B 0.000 0.000 0.500
B 0.500 0.000 0.000
Au 0.000 0.500 0.000
Zr 0.000 0.000 0.000

Values from the calculation:
DFT formation energy: 1.497 eV per atom
DOS at the Fermi energy: 4.55 states/eV per cell